[1]
# BeCoBiPd (GGA-PBE, relaxed)
# Energy ... -4.766 eV per atom
# Energy above the most stable polymorph in this dataset ... 0.0000 eV/atom
data_BeCoBiPd
_chemical_formula_sum 'Be1 Co1 Bi1 Pd1'
_symmetry_space_group_name_H-M 'P 1'
_symmetry_Int_Tables_number 1
_symmetry_space_group_name_Hall 'P 1'
_cell_length_a 4.441
_cell_length_b 4.441
_cell_length_c 4.441
_cell_angle_alpha 60.00
_cell_angle_beta 60.00
_cell_angle_gamma 60.00
loop_
_atom_site_label
_atom_site_type_symbol
_atom_site_fract_x
_atom_site_fract_y
_atom_site_fract_z
_atom_site_occupancy
Be1 Be 0.000 0.000 0.000 1
Co1 Co 0.750 0.750 0.750 1
Bi1 Bi 0.500 0.500 0.500 1
Pd1 Pd 0.250 0.250 0.250 1

[2]
# BeCoReBi (GGA-PBE, relaxed)
# Energy ... -5.944 eV per atom
# Energy above the most stable polymorph in this dataset ... 0.1272 eV/atom
data_BeCoReBi
_chemical_formula_sum 'Be1 Co1 Re1 Bi1'
_symmetry_space_group_name_H-M 'P 1'
_symmetry_Int_Tables_number 1
_symmetry_space_group_name_Hall 'P 1'
_cell_length_a 4.388
_cell_length_b 4.388
_cell_length_c 4.388
_cell_angle_alpha 60.00
_cell_angle_beta 60.00
_cell_angle_gamma 60.00
loop_
_atom_site_label
_atom_site_type_symbol
_atom_site_fract_x
_atom_site_fract_y
_atom_site_fract_z
_atom_site_occupancy
Be1 Be 0.000 0.000 0.000 1
Co1 Co 0.500 0.500 0.500 1
Re1 Re 0.750 0.750 0.750 1
Bi1 Bi 0.250 0.250 0.250 1

[3]
# BeCoReBi (GGA-PBE, relaxed)
# Energy ... -6.071 eV per atom
# Energy above the most stable polymorph in this dataset ... 0.0000 eV/atom
data_BeCoReBi
_chemical_formula_sum 'Be1 Co1 Re1 Bi1'
_symmetry_space_group_name_H-M 'P 1'
_symmetry_Int_Tables_number 1
_symmetry_space_group_name_Hall 'P 1'
_cell_length_a 4.368
_cell_length_b 4.368
_cell_length_c 4.368
_cell_angle_alpha 60.00
_cell_angle_beta 60.00
_cell_angle_gamma 60.00
loop_
_atom_site_label
_atom_site_type_symbol
_atom_site_fract_x
_atom_site_fract_y
_atom_site_fract_z
_atom_site_occupancy
Be1 Be 0.000 0.000 0.000 1
Co1 Co 0.750 0.750 0.750 1
Re1 Re 0.250 0.250 0.250 1
Bi1 Bi 0.500 0.500 0.500 1

[4]
# SrBeCoBi (GGA-PBE, relaxed)
# Energy ... -3.661 eV per atom
# Energy above the most stable polymorph in this dataset ... 0.0000 eV/atom
data_SrBeCoBi
_chemical_formula_sum 'Sr1 Be1 Co1 Bi1'
_symmetry_space_group_name_H-M 'P 1'
_symmetry_Int_Tables_number 1
_symmetry_space_group_name_Hall 'P 1'
_cell_length_a 4.846
_cell_length_b 4.846
_cell_length_c 4.846
_cell_angle_alpha 60.00
_cell_angle_beta 60.00
_cell_angle_gamma 60.00
loop_
_atom_site_label
_atom_site_type_symbol
_atom_site_fract_x
_atom_site_fract_y
_atom_site_fract_z
_atom_site_occupancy
Sr1 Sr 0.000 0.000 0.000 1
Be1 Be 0.750 0.750 0.750 1
Co1 Co 0.250 0.250 0.250 1
Bi1 Bi 0.500 0.500 0.500 1

[5]
# SrBeCoBi (GGA-PBE, relaxed)
# Energy ... -3.607 eV per atom
# Energy above the most stable polymorph in this dataset ... 0.0535 eV/atom
data_SrBeCoBi
_chemical_formula_sum 'Sr1 Be1 Co1 Bi1'
_symmetry_space_group_name_H-M 'P 1'
_symmetry_Int_Tables_number 1
_symmetry_space_group_name_Hall 'P 1'
_cell_length_a 4.874
_cell_length_b 4.874
_cell_length_c 4.874
_cell_angle_alpha 60.00
_cell_angle_beta 60.00
_cell_angle_gamma 60.00
loop_
_atom_site_label
_atom_site_type_symbol
_atom_site_fract_x
_atom_site_fract_y
_atom_site_fract_z
_atom_site_occupancy
Sr1 Sr 0.000 0.000 0.000 1
Be1 Be 0.750 0.750 0.750 1
Co1 Co 0.500 0.500 0.500 1
Bi1 Bi 0.250 0.250 0.250 1

[6]
# SrBeCoBi (GGA-PBE, relaxed)
# Energy ... -3.480 eV per atom
# Energy above the most stable polymorph in this dataset ... 0.1807 eV/atom
data_SrBeCoBi
_chemical_formula_sum 'Sr1 Be1 Co1 Bi1'
_symmetry_space_group_name_H-M 'P 1'
_symmetry_Int_Tables_number 1
_symmetry_space_group_name_Hall 'P 1'
_cell_length_a 4.991
_cell_length_b 4.991
_cell_length_c 4.991
_cell_angle_alpha 60.00
_cell_angle_beta 60.00
_cell_angle_gamma 60.00
loop_
_atom_site_label
_atom_site_type_symbol
_atom_site_fract_x
_atom_site_fract_y
_atom_site_fract_z
_atom_site_occupancy
Sr1 Sr 0.000 0.000 0.000 1
Be1 Be 0.500 0.500 0.500 1
Co1 Co 0.250 0.250 0.250 1
Bi1 Bi 0.750 0.750 0.750 1

[7]
# TaBeCoBi (GGA-PBE, relaxed)
# Energy ... -5.902 eV per atom
# Energy above the most stable polymorph in this dataset ... 0.1580 eV/atom
data_TaBeCoBi
_chemical_formula_sum 'Ta1 Be1 Co1 Bi1'
_symmetry_space_group_name_H-M 'P 1'
_symmetry_Int_Tables_number 1
_symmetry_space_group_name_Hall 'P 1'
_cell_length_a 4.515
_cell_length_b 4.515
_cell_length_c 4.515
_cell_angle_alpha 60.00
_cell_angle_beta 60.00
_cell_angle_gamma 60.00
loop_
_atom_site_label
_atom_site_type_symbol
_atom_site_fract_x
_atom_site_fract_y
_atom_site_fract_z
_atom_site_occupancy
Ta1 Ta 0.000 0.000 0.000 1
Be1 Be 0.750 0.750 0.750 1
Co1 Co 0.500 0.500 0.500 1
Bi1 Bi 0.250 0.250 0.250 1

[8]
# TaBeCoBi (GGA-PBE, relaxed)
# Energy ... -6.060 eV per atom
# Energy above the most stable polymorph in this dataset ... 0.0000 eV/atom
data_TaBeCoBi
_chemical_formula_sum 'Ta1 Be1 Co1 Bi1'
_symmetry_space_group_name_H-M 'P 1'
_symmetry_Int_Tables_number 1
_symmetry_space_group_name_Hall 'P 1'
_cell_length_a 4.477
_cell_length_b 4.477
_cell_length_c 4.477
_cell_angle_alpha 60.00
_cell_angle_beta 60.00
_cell_angle_gamma 60.00
loop_
_atom_site_label
_atom_site_type_symbol
_atom_site_fract_x
_atom_site_fract_y
_atom_site_fract_z
_atom_site_occupancy
Ta1 Ta 0.000 0.000 0.000 1
Be1 Be 0.250 0.250 0.250 1
Co1 Co 0.750 0.750 0.750 1
Bi1 Bi 0.500 0.500 0.500 1

[9]
# YBeCoBi (GGA-PBE, relaxed)
# Energy ... -5.034 eV per atom
# Energy above the most stable polymorph in this dataset ... 0.1594 eV/atom
data_YBeCoBi
_chemical_formula_sum 'Y1 Be1 Co1 Bi1'
_symmetry_space_group_name_H-M 'P 1'
_symmetry_Int_Tables_number 1
_symmetry_space_group_name_Hall 'P 1'
_cell_length_a 4.760
_cell_length_b 4.760
_cell_length_c 4.760
_cell_angle_alpha 60.00
_cell_angle_beta 60.00
_cell_angle_gamma 60.00
loop_
_atom_site_label
_atom_site_type_symbol
_atom_site_fract_x
_atom_site_fract_y
_atom_site_fract_z
_atom_site_occupancy
Y1 Y 0.000 0.000 0.000 1
Be1 Be 0.750 0.750 0.750 1
Co1 Co 0.500 0.500 0.500 1
Bi1 Bi 0.250 0.250 0.250 1

[10]
# YBeCoBi (GGA-PBE, relaxed)
# Energy ... -5.193 eV per atom
# Energy above the most stable polymorph in this dataset ... 0.0000 eV/atom
data_YBeCoBi
_chemical_formula_sum 'Y1 Be1 Co1 Bi1'
_symmetry_space_group_name_H-M 'P 1'
_symmetry_Int_Tables_number 1
_symmetry_space_group_name_Hall 'P 1'
_cell_length_a 4.683
_cell_length_b 4.683
_cell_length_c 4.683
_cell_angle_alpha 60.00
_cell_angle_beta 60.00
_cell_angle_gamma 60.00
loop_
_atom_site_label
_atom_site_type_symbol
_atom_site_fract_x
_atom_site_fract_y
_atom_site_fract_z
_atom_site_occupancy
Y1 Y 0.000 0.000 0.000 1
Be1 Be 0.250 0.250 0.250 1
Co1 Co 0.750 0.750 0.750 1
Bi1 Bi 0.500 0.500 0.500 1

[11]
# BeZnCoBi (GGA-PBE, relaxed)
# Energy ... -3.374 eV per atom
# Energy above the most stable polymorph in this dataset ... 0.1062 eV/atom
data_BeZnCoBi
_chemical_formula_sum 'Be1 Zn1 Co1 Bi1'
_symmetry_space_group_name_H-M 'P 1'
_symmetry_Int_Tables_number 1
_symmetry_space_group_name_Hall 'P 1'
_cell_length_a 4.510
_cell_length_b 4.510
_cell_length_c 4.510
_cell_angle_alpha 60.00
_cell_angle_beta 60.00
_cell_angle_gamma 60.00
loop_
_atom_site_label
_atom_site_type_symbol
_atom_site_fract_x
_atom_site_fract_y
_atom_site_fract_z
_atom_site_occupancy
Be1 Be 0.000 0.000 0.000 1
Zn1 Zn 0.500 0.500 0.500 1
Co1 Co 0.750 0.750 0.750 1
Bi1 Bi 0.250 0.250 0.250 1

[12]
# BeZnCoBi (GGA-PBE, relaxed)
# Energy ... -3.481 eV per atom
# Energy above the most stable polymorph in this dataset ... 0.0000 eV/atom
data_BeZnCoBi
_chemical_formula_sum 'Be1 Zn1 Co1 Bi1'
_symmetry_space_group_name_H-M 'P 1'
_symmetry_Int_Tables_number 1
_symmetry_space_group_name_Hall 'P 1'
_cell_length_a 4.437
_cell_length_b 4.437
_cell_length_c 4.437
_cell_angle_alpha 60.00
_cell_angle_beta 60.00
_cell_angle_gamma 60.00
loop_
_atom_site_label
_atom_site_type_symbol
_atom_site_fract_x
_atom_site_fract_y
_atom_site_fract_z
_atom_site_occupancy
Be1 Be 0.000 0.000 0.000 1
Zn1 Zn 0.750 0.750 0.750 1
Co1 Co 0.500 0.500 0.500 1
Bi1 Bi 0.250 0.250 0.250 1